Below is a relaxed InH2Se crystal, with properties calculated at the PBE level.

Summary:
Calculated total energy = -2.58 eV/atom
Space-group type = Fm-3m (225)

Lattice parameters (Å, degrees): 4.1888 4.1888 4.1888 60.00 60.00 60.00
Atoms (fractional coordinates):
H1 0.2500 0.2500 0.2500
H2 0.7500 0.7500 0.7500
In1 0.5000 0.5000 0.5000
Se1 0.0000 0.0000 0.0000